First-principles (SCAN) data for a PBEsol-optimized structure of Cr4As3, as listed in the Alexandria database.

Cell lengths 12.8505, 3.4650, 9.0967 Å; angles 90.00, 102.92, 90.00 degrees
Space group C2/m (No. 12)
Unique sites:
Cr1 0.0000 0.0000 0.0000 (multiplicity 2)
Cr2 0.0000 0.0000 0.5000 (multiplicity 2)
Cr3 0.0675 0.5000 0.2060 (multiplicity 4)
Cr4 0.1479 0.5000 0.9464 (multiplicity 4)
Cr5 0.2179 0.0000 0.6709 (multiplicity 4)
As1 0.0618 0.0000 0.7701 (multiplicity 4)
As2 0.1408 0.5000 0.4817 (multiplicity 4)
As3 0.1882 0.0000 0.1489 (multiplicity 4)

Values from the calculation:
density of states at the Fermi level: 16.99 states/eV/cell
total energy: -19.449 eV per atom
magnetization: 30.5 Bohr magnetons per cell
formation enthalpy at 0 K: -2.0 eV per formula unit

***

First-principles (SCAN) data for a PBEsol-optimized structure of TlRuSe4, as listed in the Alexandria database.

Cell lengths 7.9857, 7.9857, 7.9857 Å; angles 90.00, 90.00, 90.00 degrees
Space group F-43m (No. 216)
Unique sites:
Tl1 0.0000 0.0000 0.0000 (multiplicity 4)
Ru1 0.2500 0.2500 0.2500 (multiplicity 4)
Se1 0.1239 0.1239 0.6239 (multiplicity 16)

Values from the calculation:
density of states at the Fermi level: 21.57 states/eV/cell
total energy: -30.356 eV per atom
uncorrected formation energy: 0.89 eV/atom
magnetization: 11.5 Bohr magnetons per cell